## FeRe (PBE)

Data for a geometry-optimized FeRe structure.

Calculated values
DOS at the Fermi energy = 12.3 states/eV/cell
Total DFT energy (no corrections) = -0.6987 Ry/atom
Theoretical density = 14.41 g/cm3
Magnetization = 0.000 μB/atom

Structure (POSCAR):
```
FeRe
1.0
4.919 0.000 0.000
0.000 4.919 0.000
0.000 0.000 4.610
Fe Re
4 4
Cartesian
0.883 0.883 0.000
1.576 3.343 2.305
3.343 1.576 2.305
4.036 4.036 0.000
0.928 0.928 2.305
1.532 3.387 0.000
3.387 1.532 0.000
3.991 3.991 2.305
```